No. 1
# CaIn3Bi PBE relaxed
# Calculated formation energy in eV per atom: 0.344
# E above lowest polymorph in meV per atom: 0
data_CaIn3Bi
_cell_length_a 5.846
_cell_length_b 5.846
_cell_length_c 5.846
_cell_angle_alpha 90.00
_cell_angle_beta 90.00
_cell_angle_gamma 90.00
_symmetry_space_group_name_H-M 'P m -3 m'
_symmetry_Int_Tables_number 221
_symmetry_space_group_name_Hall '-P 4 2 3'
loop_
_atom_site_label
_atom_site_type_symbol
_atom_site_fract_x
_atom_site_fract_y
_atom_site_fract_z
Ca1 Ca 0.000 0.000 0.000
In1 In 0.000 0.500 0.500
Bi1 Bi 0.500 0.500 0.500

***

No. 2
# K2CaInBi PBE relaxed
# Calculated formation energy in eV per atom: 0.514
data_K2CaInBi
_cell_length_a 6.793
_cell_length_b 6.793
_cell_length_c 6.020
_cell_angle_alpha 90.00
_cell_angle_beta 90.00
_cell_angle_gamma 90.00
_symmetry_space_group_name_H-M 'P 4/m m m'
_symmetry_Int_Tables_number 123
_symmetry_space_group_name_Hall '-P 4 2'
loop_
_atom_site_label
_atom_site_type_symbol
_atom_site_fract_x
_atom_site_fract_y
_atom_site_fract_z
K1 K 0.000 0.500 0.000
Ca1 Ca 0.000 0.000 0.000
In1 In 0.000 0.000 0.500
Bi1 Bi 0.500 0.500 0.500

***

No. 3
# Ca2LaInBi PBE relaxed
# Calculated formation energy in eV per atom: -0.136
data_Ca2LaInBi
_cell_length_a 5.869
_cell_length_b 5.869
_cell_length_c 6.234
_cell_angle_alpha 90.00
_cell_angle_beta 90.00
_cell_angle_gamma 90.00
_symmetry_space_group_name_H-M 'P 4/m m m'
_symmetry_Int_Tables_number 123
_symmetry_space_group_name_Hall '-P 4 2'
loop_
_atom_site_label
_atom_site_type_symbol
_atom_site_fract_x
_atom_site_fract_y
_atom_site_fract_z
Ca1 Ca 0.000 0.500 0.000
La1 La 0.000 0.000 0.500
In1 In 0.500 0.500 0.500
Bi1 Bi 0.000 0.000 0.000

***

No. 4
# LiCaInBi PBE relaxed
# Calculated formation energy in eV per atom: -0.414
data_LiCaInBi
_cell_length_a 7.574
_cell_length_b 7.574
_cell_length_c 7.574
_cell_angle_alpha 90.00
_cell_angle_beta 90.00
_cell_angle_gamma 90.00
_symmetry_space_group_name_H-M 'F -4 3 m'
_symmetry_Int_Tables_number 216
_symmetry_space_group_name_Hall 'F -4 2 3'
loop_
_atom_site_label
_atom_site_type_symbol
_atom_site_fract_x
_atom_site_fract_y
_atom_site_fract_z
Li1 Li 0.000 0.000 0.000
Ca1 Ca 0.000 0.000 0.500
In1 In 0.250 0.250 0.250
Bi1 Bi 0.250 0.250 0.750

***

No. 5
# Li2CaInBi2 PBE relaxed
# Calculated formation energy in eV per atom: -0.450
data_Li2CaInBi2
_cell_length_a 4.651
_cell_length_b 9.110
_cell_length_c 7.706
_cell_angle_alpha 90.00
_cell_angle_beta 90.00
_cell_angle_gamma 90.00
_symmetry_space_group_name_H-M 'P m c 21'
_symmetry_Int_Tables_number 26
loop_
_symmetry_equiv_pos_as_xyz
'x,y,z'
'-x,-y,z+1/2'
'-x,y,z'
'x,-y,z+1/2'
loop_
_atom_site_label
_atom_site_type_symbol
_atom_site_fract_x
_atom_site_fract_y
_atom_site_fract_z
Li1 Li 0.000 0.055 0.000
Li2 Li 0.500 0.189 0.334
Ca1 Ca 0.500 0.427 0.912
In1 In 0.000 0.304 0.602
Bi1 Bi 0.000 0.348 0.202
Bi2 Bi 0.500 0.110 0.713

***

No. 6
# CaMgIn2Bi PBE relaxed
# Calculated formation energy in eV per atom: 0.510
data_CaMgIn2Bi
_cell_length_a 5.960
_cell_length_b 5.960
_cell_length_c 5.890
_cell_angle_alpha 90.00
_cell_angle_beta 90.00
_cell_angle_gamma 90.00
_symmetry_space_group_name_H-M 'P 4/m m m'
_symmetry_Int_Tables_number 123
_symmetry_space_group_name_Hall '-P 4 2'
loop_
_atom_site_label
_atom_site_type_symbol
_atom_site_fract_x
_atom_site_fract_y
_atom_site_fract_z
Ca1 Ca 0.000 0.000 0.000
Mg1 Mg 0.500 0.500 0.500
In1 In 0.000 0.500 0.000
Bi1 Bi 0.000 0.000 0.500

***

No. 7
# Ca3InBi2N PBE relaxed
# Formation energy without anion corrections in eV per atom: -0.68
data_Ca3InBi2N
_cell_length_a 4.731
_cell_length_b 4.826
_cell_length_c 16.278
_cell_angle_alpha 90.00
_cell_angle_beta 90.00
_cell_angle_gamma 90.00
_symmetry_space_group_name_H-M 'I m m m'
_symmetry_Int_Tables_number 71
_symmetry_space_group_name_Hall '-I 2 2'
loop_
_atom_site_label
_atom_site_type_symbol
_atom_site_fract_x
_atom_site_fract_y
_atom_site_fract_z
Ca1 Ca 0.000 0.000 0.000
Ca2 Ca 0.000 0.500 0.151
In1 In 0.000 0.000 0.500
Bi1 Bi 0.000 0.500 0.356
N1 N 0.000 0.500 0.000

***

No. 8
# Ca2InBiN PBE relaxed
# Formation energy without anion corrections in eV per atom: -0.62
data_Ca2InBiN
_cell_length_a 4.951
_cell_length_b 4.951
_cell_length_c 4.715
_cell_angle_alpha 90.00
_cell_angle_beta 90.00
_cell_angle_gamma 90.00
_symmetry_space_group_name_H-M 'P 4/m m m'
_symmetry_Int_Tables_number 123
_symmetry_space_group_name_Hall '-P 4 2'
loop_
_atom_site_label
_atom_site_type_symbol
_atom_site_fract_x
_atom_site_fract_y
_atom_site_fract_z
Ca1 Ca 0.000 0.500 0.000
In1 In 0.000 0.000 0.500
Bi1 Bi 0.500 0.500 0.500
N1 N 0.000 0.000 0.000

***

No. 9
# CaInBi2O6 PBE relaxed
# Formation energy without anion corrections in eV per atom: -1.59
data_CaInBi2O6
_cell_length_a 5.8522
_cell_length_b 5.8522
_cell_length_c 15.5435
_cell_angle_alpha 90.00
_cell_angle_beta 90.00
_cell_angle_gamma 120.00
_symmetry_space_group_name_H-M 'R 3'
_symmetry_Int_Tables_number 146
_symmetry_space_group_name_Hall 'R 3'
loop_
_atom_site_label
_atom_site_type_symbol
_atom_site_fract_x
_atom_site_fract_y
_atom_site_fract_z
Ca1 Ca 0.0000 0.0000 0.0000
In1 In 0.0000 0.0000 0.4928
Bi1 Bi 0.0000 0.0000 0.2823
Bi2 Bi 0.0000 0.0000 0.7871
O1 O 0.0092 0.7193 0.3917
O2 O 0.0488 0.3582 0.5534

***

No. 10
# Ca2InBiO6 PBE relaxed
# Formation energy without anion corrections in eV per atom: -1.94
data_Ca2InBiO6
_cell_length_a 5.693
_cell_length_b 5.911
_cell_length_c 9.935
_cell_angle_alpha 90.00
_cell_angle_beta 124.56
_cell_angle_gamma 90.00
_symmetry_space_group_name_H-M 'P 1 21/c 1'
_symmetry_Int_Tables_number 14
loop_
_symmetry_equiv_pos_as_xyz
'x,y,z'
'-x,-y,-z'
'-x,y+1/2,-z+1/2'
'x,-y+1/2,z+1/2'
loop_
_atom_site_label
_atom_site_type_symbol
_atom_site_fract_x
_atom_site_fract_y
_atom_site_fract_z
Ca1 Ca 0.230 0.058 0.247
In1 In 0.000 0.000 0.500
Bi1 Bi 0.500 0.000 0.000
O1 O 0.134 0.194 0.939
O2 O 0.241 0.702 0.932
O3 O 0.376 0.057 0.753

***

No. 11
# CaIn2BiO6 PBE relaxed
# Formation energy without anion corrections in eV per atom: -1.68
data_CaIn2BiO6
_cell_length_a 5.7550
_cell_length_b 5.7550
_cell_length_c 15.0044
_cell_angle_alpha 90.00
_cell_angle_beta 90.00
_cell_angle_gamma 120.00
_symmetry_space_group_name_H-M 'R 3'
_symmetry_Int_Tables_number 146
_symmetry_space_group_name_Hall 'R 3'
loop_
_atom_site_label
_atom_site_type_symbol
_atom_site_fract_x
_atom_site_fract_y
_atom_site_fract_z
Ca1 Ca 0.0000 0.0000 0.0000
In1 In 0.0000 0.0000 0.2790
In2 In 0.0000 0.0000 0.7806
Bi1 Bi 0.0000 0.0000 0.4916
O1 O 0.0218 0.3075 0.8814
O2 O 0.0308 0.7321 0.3858

***

No. 12
# Ca2InBiP PBE relaxed
# Calculated formation energy in eV per atom: -0.596
data_Ca2InBiP
_cell_length_a 5.478
_cell_length_b 5.478
_cell_length_c 5.129
_cell_angle_alpha 90.00
_cell_angle_beta 90.00
_cell_angle_gamma 90.00
_symmetry_space_group_name_H-M 'P 4/m m m'
_symmetry_Int_Tables_number 123
_symmetry_space_group_name_Hall '-P 4 2'
loop_
_atom_site_label
_atom_site_type_symbol
_atom_site_fract_x
_atom_site_fract_y
_atom_site_fract_z
Ca1 Ca 0.000 0.500 0.000
In1 In 0.000 0.000 0.500
Bi1 Bi 0.500 0.500 0.500
P1 P 0.000 0.000 0.000